VASP calculation (PBE+U) on a relaxed structure of Rb3Sr2WO6.

a b c (Å): 6.2105 10.8099 6.7831
angles (deg): 90.00 107.73 90.00
With the nearest neighbours (Å) after each atom.
Space group C2/m (No. 12)
Symmetry-distinct sites (fractional):
Rb  0.0000  0.0000  0.0000  4 O 2.83
Rb  0.0000  0.3329  0.0000  6 O 2.83-3.17
Sr  0.0000  0.1693  0.5000  6 O 2.52-2.59
W  0.0000  0.5000  0.5000  6 O 2.00-2.11
O  0.2015  0.3594  0.6801  1 W 2.11
O  0.2082  0.5000  0.3261  1 W 2.00

Values from the calculation:
**Electronic total energy**: -5.6902 eV/atom